(1)
A plane-wave DFT calculation with PBE was carried out for crystalline NdZnGe at its relaxed geometry.

Unit cell a=4.2470 b=4.2470 c=8.4778 alpha=90.00 beta=90.00 gamma=120.00
Closest atoms and distances in Å follow each position.
Space group P6_3/mmc (No. 194)
Asymmetric unit:
Nd: 0.0000 0.0000 0.0000  6 Zn 3.24, 6 Ge 3.24
Zn: 0.3333 0.6667 0.2500  3 Ge 2.45
Ge: 0.3333 0.6667 0.7500  3 Zn 2.45

* D(E_F): 3.3 states/eV/cell
* energy of formation: -15.61 kcal/mol of atoms

(2)
A plane-wave DFT calculation with PBE was carried out for crystalline NdZnGe at its relaxed geometry.

Unit cell a=4.2478 b=4.2478 c=4.2508 alpha=90.00 beta=90.00 gamma=120.00
Closest atoms and distances in Å follow each position.
Space group P3m1 (No. 156)
Asymmetric unit:
Nd: 0.0000 0.0000 0.0000  6 Zn 3.24-3.25, 6 Ge 3.24-3.25
Zn: 0.3333 0.6667 0.4989  3 Ge 2.45
Ge: 0.6667 0.3333 0.5007  3 Zn 2.45

* D(E_F): 1.4 states/eV/cell
* energy of formation: -15.58 kcal/mol of atoms

(3)
A plane-wave DFT calculation with PBE was carried out for crystalline Nd2ZnGe at its relaxed geometry.

Unit cell a=5.0446 b=5.0446 c=3.8974 alpha=90.00 beta=90.00 gamma=90.00
Closest atoms and distances in Å follow each position.
Space group P4/mmm (No. 123)
Asymmetric unit:
Nd: 0.0000 0.5000 0.0000  4 Ge 3.19, 4 Zn 3.19, 4 Nd 3.57
Zn: 0.0000 0.0000 0.5000  8 Nd 3.19, 4 Ge 3.57
Ge: 0.5000 0.5000 0.5000  8 Nd 3.19, 4 Zn 3.57

* D(E_F): 2.4 states/eV/cell
* energy of formation: -11.95 kcal/mol of atoms

(4)
A plane-wave DFT calculation with PBE was carried out for crystalline Nd2ZnGe3 at its relaxed geometry.

Unit cell a=4.1754 b=4.3399 c=7.3596 alpha=90.00 beta=90.00 gamma=90.00
Closest atoms and distances in Å follow each position.
Space group Pmm2 (No. 25)
Asymmetric unit:
Nd: 0.0000 0.0000 0.0000  8 Ge 3.20-3.22, 4 Zn 3.28
Nd: 0.0000 0.5000 0.4877  10 Ge 3.22-3.30, 2 Zn 3.23
Zn: 0.5000 0.5000 0.8218  3 Ge 2.44-2.45
Ge: 0.5000 0.0000 0.3300  3 Ge 2.50-2.53
Ge: 0.5000 0.0000 0.6696  2 Zn 2.44, 1 Ge 2.50
Ge: 0.5000 0.5000 0.1541  1 Zn 2.45, 2 Ge 2.53

* D(E_F): 1.6 states/eV/cell
* energy of formation: -14.96 kcal/mol of atoms

Question: Look up the energy of formation of the third one.
Answer: -11.95 kcal/mol of atoms